# 1
Below is Ba4Mg3In2 after structural relaxation, with properties calculated at the PBE-GGA level.

Formation energy from the elements   -189 meV/atom
Calculated volume   355 Å³ per cell
Final energy   -2.18 eV/atom

Cell: 4.890 8.142 9.622 Å, 105.91 104.72 90.00°
Element x y z (fractional)
Mg  0.000  0.500  0.000
Mg  0.913  0.782  0.826
Mg  0.087  0.218  0.174
Ba  0.578  0.873  0.156
Ba  0.768  0.300  0.537
Ba  0.232  0.700  0.463
Ba  0.422  0.127  0.844
In  0.400  0.549  0.800
In  0.600  0.451  0.200

# 2
Below is Ti2VS5 after structural relaxation, with properties calculated at the PBE-GGA level.

Calculated volume   172 Å³ per cell
Final energy   -6.58 eV/atom
Energy relative to the lowest polymorph listed for this composition   4.76 kcal/mol of atoms
Formation energy from raw total energies   -86 kJ/mol of atoms

Cell: 4.421 6.493 6.743 Å, 83.59 70.86 70.10°
Site moments in Bohr magnetons follow the coordinates.
Element x y z (fractional)
Ti  0.186  0.500  0.128  0.50
Ti  0.814  0.500  0.872  0.50
S  0.779  0.259  0.183  -0.06
S  0.462  0.259  0.817  -0.06
S  0.538  0.741  0.183  -0.06
S  0.000  0.500  0.500  -0.08
S  0.221  0.741  0.817  -0.06
V  0.500  0.500  0.500  1.35

# 3
Below is Sr2Mg4SnGe3 after structural relaxation, with properties calculated at the PBE-GGA level.

Formation energy from the elements   -425 meV/atom
Calculated volume   249 Å³ per cell
Final energy   -3.18 eV/atom

Cell: 4.628 4.628 11.601 Å, 90.00 90.00 90.00°
Element x y z (fractional)
Mg  0.500  0.000  0.642
Mg  0.000  0.000  0.000
Mg  0.000  0.500  0.358
Mg  0.500  0.500  0.000
Sr  0.000  0.500  0.752
Sr  0.500  0.000  0.248
Ge  0.500  0.000  0.867
Ge  0.000  0.500  0.133
Ge  0.000  0.000  0.500
Sn  0.500  0.500  0.500

# 4
Below is LaSbBr3 after structural relaxation, with properties calculated at the PBE-GGA level.

Calculated volume   190 Å³ per cell
Final energy   -3.05 eV/atom
Energy relative to the lowest polymorph listed for this composition   17.39 kcal/mol of atoms
Formation energy from raw total energies   -23 kJ/mol of atoms

Cell: 5.745 5.745 5.745 Å, 90.00 90.00 90.00°
Site moments in Bohr magnetons follow the coordinates.
Element x y z (fractional)
Br  0.000  0.500  0.000  0.00
Br  0.500  0.000  0.000  0.00
Br  0.000  0.000  0.500  0.00
Sb  0.000  0.000  0.000  -0.01
La  0.500  0.500  0.500  0.77